Computed, not measured: a geometry-optimized LiLaBr2 structure at the PBE level of DFT.

Unit cell a=3.767 b=3.780 c=7.784 alpha=90.00 beta=90.06 gamma=90.00
Positions (direct):
1 Li 0.000 0.000 0.000
2 La 0.500 0.500 0.617
3 Br 0.500 0.500 0.005
4 Br 0.999 0.000 0.389

Properties
DOS(E_F) ... 1.97 states/eV per cell
Raw formation energy ... -5.08 eV/f.u.
Energy above the lowest structure with this stoichiometry ... 12.36 kJ/mol of atoms
Volume ... 110.84 Å³ per cell